# 1
This record from Alexandria describes crystalline CrTcAgSb2 at its relaxed geometry. The functional is PBE-GGA.

Output
- E_tot: -4.156 eV per atom
- Total moment: 0.08 μB per atom

```
data_CrTcAgSb2
_chemical_formula_sum 'Cr1 Tc1 Ag1 Sb2'
_space_group_name_H-M_alt 'P 4/m m m'
_space_group_IT_number 123
_space_group_name_Hall '-P 4 2'
_cell_length_a 5.139
_cell_length_b 5.139
_cell_length_c 4.957
_cell_angle_alpha 90.00
_cell_angle_beta 90.00
_cell_angle_gamma 90.00
loop_
_atom_site_label
_atom_site_type_symbol
_atom_site_fract_x
_atom_site_fract_y
_atom_site_fract_z
Cr1 Cr 0.000 0.000 0.000
Tc1 Tc 0.500 0.500 0.000
Ag1 Ag 0.500 0.500 0.500
Sb1 Sb 0.000 0.500 0.500
```



# 2
This record from Alexandria describes crystalline Nb2HgPtSe at its relaxed geometry. The functional is PBE-GGA.

Output
- E_tot: -4.326 eV per atom
- Total moment: 0.49 μB per atom

```
data_Nb2HgPtSe
_chemical_formula_sum 'Nb2 Hg1 Pt1 Se1'
_space_group_name_H-M_alt 'P 4/m m m'
_space_group_IT_number 123
_space_group_name_Hall '-P 4 2'
_cell_length_a 5.163
_cell_length_b 5.163
_cell_length_c 4.915
_cell_angle_alpha 90.00
_cell_angle_beta 90.00
_cell_angle_gamma 90.00
loop_
_atom_site_label
_atom_site_type_symbol
_atom_site_fract_x
_atom_site_fract_y
_atom_site_fract_z
Nb1 Nb 0.000 0.500 0.000
Hg1 Hg 0.000 0.000 0.000
Pt1 Pt 0.000 0.000 0.500
Se1 Se 0.500 0.500 0.500
```



# 3
This record from Alexandria describes crystalline Pr5Sm3Sb8 at its relaxed geometry. The functional is PBE-GGA.

Output
- E_tot: -5.625 eV per atom
- Total moment: 0.00 μB per atom

```
data_Pr5Sm3Sb8
_chemical_formula_sum 'Pr15 Sm9 Sb24'
_space_group_name_H-M_alt 'R -3 m'
_space_group_IT_number 166
_space_group_name_Hall '-R 3 2"'
_cell_length_a 9.0522
_cell_length_b 9.0522
_cell_length_c 22.1710
_cell_angle_alpha 90.00
_cell_angle_beta 90.00
_cell_angle_gamma 120.00
loop_
_atom_site_label
_atom_site_type_symbol
_atom_site_fract_x
_atom_site_fract_y
_atom_site_fract_z
Pr1 Pr 0.0000 0.0000 0.0000
Pr2 Pr 0.0000 0.0000 0.5000
Pr3 Pr 0.0000 0.5000 0.0000
Sm1 Sm 0.0000 0.5000 0.5000
Sb1 Sb 0.0000 0.0000 0.2482
Sb2 Sb 0.0024 0.5012 0.7512
```